1.
DFT (PBE) results for an optimized crystal structure of Ni3Ge4.

Output
Crystal system: trigonal
Calculated volume, Å³/atom: 16.44
E, eV per cell: -71.7
ΔH_f (0 K), eV per formula unit: 0.0

Cell: 6.2815 6.2815 6.2815 Å, 76.50 76.50 76.50°
Last column: nearest neighbours and their distance in Å.
Fractional positions:
Ni: 0.0000 0.0000 0.0000  6 Ge 2.52
Ni: 0.0000 0.0000 0.5000  6 Ge 2.42-2.43
Ni: 0.0000 0.5000 0.0000  6 Ge 2.42-2.43
Ni: 0.4073 0.4073 0.4073  4 Ge 2.25-2.31, 1 Ni 2.44
Ni: 0.5000 0.0000 0.0000  6 Ge 2.42-2.43
Ni: 0.5927 0.5927 0.5927  4 Ge 2.25-2.31, 1 Ni 2.44
Ge: 0.2310 0.7431 0.7431  4 Ni 2.31-2.52
Ge: 0.2369 0.2369 0.2369  4 Ni 2.25-2.43
Ge: 0.2569 0.2569 0.7690  4 Ni 2.31-2.52
Ge: 0.2569 0.7690 0.2569  4 Ni 2.31-2.52
Ge: 0.7431 0.2310 0.7431  4 Ni 2.31-2.52
Ge: 0.7431 0.7431 0.2310  4 Ni 2.31-2.52
Ge: 0.7631 0.7631 0.7631  4 Ni 2.25-2.43
Ge: 0.7690 0.2569 0.2569  4 Ni 2.31-2.52



2.
DFT (PBE) results for an optimized crystal structure of Ni7Ge.

Output
Crystal system: hexagonal
Calculated volume, Å³/atom: 11.16
Excess energy over the best structure of this formula in the dataset, kJ/mol of atoms: 1.6
E, eV per cell: -45.9
ΔH_f (0 K), eV per formula unit: -0.8

Cell: 5.0118 5.0118 4.1041 Å, 90.00 90.00 120.00°
Last column: nearest neighbours and their distance in Å.
Fractional positions:
Ni: 0.0000 0.0000 0.0000  12 Ni 2.51
Ni: 0.0045 0.5023 0.0000  10 Ni 2.47-2.54, 2 Ge 2.52
Ni: 0.1656 0.3311 0.5000  10 Ni 2.49-2.52, 2 Ge 2.51
Ni: 0.1656 0.8344 0.5000  10 Ni 2.49-2.52, 2 Ge 2.51
Ni: 0.4977 0.5023 0.0000  10 Ni 2.47-2.54, 2 Ge 2.52
Ni: 0.4977 0.9955 0.0000  10 Ni 2.47-2.54, 2 Ge 2.52
Ni: 0.6689 0.8344 0.5000  10 Ni 2.49-2.52, 2 Ge 2.51
Ge: 0.6667 0.3333 0.5000  12 Ni 2.51-2.52



3.
DFT (PBE) results for an optimized crystal structure of Ni3Ge.

Output
Crystal system: orthorhombic
Calculated volume, Å³/atom: 11.61
E, eV per cell: -22.6
ΔH_f (0 K), eV per formula unit: -0.6

Cell: 4.7720 4.7720 4.7720 Å, 146.89 63.30 127.72°
Last column: nearest neighbours and their distance in Å.
Fractional positions:
Ni: 0.0000 0.0000 0.0000  4 Ge 2.47-2.53, 8 Ni 2.55-2.72
Ni: 0.3707 0.6115 0.7592  3 Ge 2.44-2.64, 9 Ni 2.51-2.72
Ni: 0.8523 0.6115 0.2408  3 Ge 2.44-2.64, 9 Ni 2.51-2.72
Ge: 0.4916 0.9916 0.5000  10 Ni 2.44-2.64, 2 Ge 2.72



4.
DFT (PBE) results for an optimized crystal structure of Ni3Ge.

Output
Crystal system: cubic
Calculated volume, Å³/atom: 11.44
E, eV per cell: -23.1
ΔH_f (0 K), eV per formula unit: -1.2

Cell: 3.5765 3.5765 3.5765 Å, 90.00 90.00 90.00°
Last column: nearest neighbours and their distance in Å.
Fractional positions:
Ni: 0.0000 0.0000 0.5000  4 Ge 2.53, 8 Ni 2.53
Ni: 0.0000 0.5000 0.0000  4 Ge 2.53, 8 Ni 2.53
Ni: 0.5000 0.0000 0.0000  4 Ge 2.53, 8 Ni 2.53
Ge: 0.5000 0.5000 0.5000  12 Ni 2.53